Density functional theory data (GGA-PBE) for a relaxed structure of Ca3Co.

Calculated values
M_tot = 0.00 μB/f.u.
E_tot = -2.8611 eV per atom
Energy of formation = 0.417 eV per atom

a b c (Å): 6.389 6.389 6.389
angles (deg): 44.06 44.06 44.06
Sites, in units of the cell vectors:
Co 0.000 0.000 0.000
Ca 0.278 0.278 0.278
Ca 0.500 0.500 0.500
Ca 0.722 0.722 0.722

=====

Density functional theory data (GGA-PBE) for a relaxed structure of CaCo2.

Calculated values
M_tot = 2.95 μB/f.u.
E_tot = -5.2019 eV per atom
Energy of formation = 0.203 eV per atom

a b c (Å): 8.196 8.196 4.043
angles (deg): 90.00 90.00 151.92
Last column: magnetic moment on the atom in μB.
Sites, in units of the cell vectors:
Co 0.249 0.751 0.750  1.62
Co 0.819 0.181 0.750  1.57
Co 0.751 0.249 0.250  1.62
Co 0.181 0.819 0.250  1.57
Ca 0.606 0.394 0.750  -0.06
Ca 0.394 0.606 0.250  -0.06